A plane-wave DFT calculation with GGA+U was carried out for an optimized crystal structure of Ac3Mg2MoO9.

Values from the calculation:
The value obtained for the total energy is -7.2813 eV per atom. For the total magnetization, the calculation gives 1.000 μB per formula unit. As for the space group: P-3m1.

a = 5.705 Å, b = 5.705 Å, c = 7.057 Å
α = 90.00°, β = 90.00°, γ = 120.00°
Positions (direct):
1 O 0.500 0.500 0.000
2 O 0.162 0.323 0.333
3 O 0.323 0.162 0.667
4 O 0.838 0.677 0.667
5 O 0.677 0.838 0.333
6 O 0.838 0.162 0.667
7 O 0.500 0.000 0.000
8 O 0.000 0.500 0.000
9 O 0.162 0.838 0.333
10 Ac 0.000 0.000 0.000
11 Ac 0.333 0.667 0.709
12 Ac 0.667 0.333 0.291
13 Mo 0.000 0.000 0.500
14 Mg 0.333 0.667 0.169
15 Mg 0.667 0.333 0.831